Pr3Nd4Tl | PBE | optimized geometry

Summary:
ΔE_f: -6.6 kJ per mole of atoms
Total magnetization: 0.00 μB per formula unit

Lattice parameters (Å, degrees): 5.0364 10.3353 10.3245 90.00 90.00 90.00
Closest atoms and distances in Å follow each position.
Space group Pmmn (No. 59, origin choice 2)
Inequivalent atoms, fractional coordinates:
1 Pr 0.2500 0.9996 0.1176  5 Pr 3.50-3.61, 3 Tl 3.60-3.61, 4 Nd 3.62-3.70
2 Pr 0.2500 0.2500 0.8771  6 Pr 3.59-3.61, 2 Tl 3.60, 4 Nd 3.61-3.66
3 Nd 0.2500 0.2500 0.3690  2 Tl 3.55, 8 Nd 3.57-3.78, 2 Pr 3.66
4 Nd 0.2500 0.5050 0.6308  1 Tl 3.56, 8 Nd 3.57-3.78, 3 Pr 3.62-3.66
5 Nd 0.2500 0.7500 0.3739  4 Pr 3.61-3.70, 8 Nd 3.65-3.67
6 Tl 0.2500 0.7500 0.8738  4 Nd 3.55-3.56, 8 Pr 3.60-3.61